InRhS PBE-GGA relaxed; raw formation energy = -203 meV per atom; crystal system = monoclinic; calculated volume = 19.35 Å³ per atom; VASP energy = -59.31 eV for the cell shown
1.0
7.053 -2.306 0.000
7.053 2.306 0.000
-2.348 0.000 7.135
In Rh S
4 4 4
Cartesian
-0.055 0.000 2.519
5.294 0.000 1.478
6.465 0.000 5.658
11.814 0.000 4.616
2.984 0.000 2.965
3.637 0.000 5.997
8.122 0.000 1.138
8.775 0.000 4.170
1.894 0.000 0.731
1.569 0.000 4.877
10.190 0.000 2.258
9.865 0.000 6.404


InRh2S PBE-GGA relaxed; raw formation energy = -94 meV per atom; crystal system = monoclinic; calculated volume = 17.09 Å³ per atom; VASP energy = -21.94 eV for the cell shown
1.0
2.977 -1.724 0.000
2.977 1.724 0.000
-1.969 0.000 6.658
In Rh S
1 2 1
Cartesian
0.000 0.000 0.000
0.013 0.000 4.616
1.988 0.000 2.061
3.977 0.000 3.310


InRhS3 PBE-GGA relaxed; raw formation energy = 186 meV per atom; relative energy among the computed polymorphs = 0.00 kJ per mole of atoms; crystal system = cubic; calculated volume = 20.65 Å³ per atom; VASP energy = -21.54 eV for the cell shown
1.0
4.691 0.000 0.000
0.000 4.691 0.000
0.000 0.000 4.691
In Rh S
1 1 3
Cartesian
0.000 0.000 0.000
2.346 2.346 2.346
0.000 2.346 2.346
2.346 0.000 2.346
2.346 2.346 0.000


InRh2S PBE-GGA relaxed; raw formation energy = -109 meV per atom; crystal system = tetragonal; calculated volume = 19.30 Å³ per atom; VASP energy = -44.01 eV for the cell shown
1.0
-2.262 2.262 7.546
2.262 -2.262 7.546
2.262 2.262 -7.546
In Rh S
2 4 2
Cartesian
0.000 0.000 0.000
0.000 2.262 3.773
1.131 -0.698 5.660
1.564 1.131 1.887
1.131 2.959 -1.887
0.698 1.131 9.433
2.262 0.000 3.773
0.000 0.000 7.546


InRh2S4 PBE-GGA relaxed; raw formation energy = -235 meV per atom; crystal system = tetragonal; calculated volume = 18.64 Å³ per atom; VASP energy = -71.20 eV for the cell shown
1.0
-3.226 3.226 6.266
3.226 -3.226 6.266
3.226 3.226 -6.266
In Rh S
2 4 8
Cartesian
0.000 1.613 1.566
3.226 1.613 4.699
1.613 1.613 -3.133
1.613 -1.613 3.133
3.226 0.000 0.000
0.000 0.000 6.266
1.273 0.596 -1.070
2.209 0.341 2.063
1.954 -0.596 5.196
2.209 3.567 -2.063
1.017 -0.341 8.329
1.273 3.823 1.070
1.017 2.886 4.203
1.954 2.630 7.336


InRh2S PBE-GGA relaxed; raw formation energy = 129 meV per atom; crystal system = cubic; calculated volume = 15.98 Å³ per atom; VASP energy = -21.05 eV for the cell shown
1.0
0.000 3.173 3.173
3.173 0.000 3.173
3.173 3.173 0.000
In Rh S
1 2 1
Cartesian
0.000 0.000 0.000
1.587 1.587 1.587
4.760 4.760 4.760
3.173 3.173 3.173


In2SbRhS PBE-GGA relaxed; raw formation energy = 728 meV per atom; crystal system = tetragonal; calculated volume = 26.18 Å³ per atom; VASP energy = -17.44 eV for the cell shown
1.0
5.045 0.000 0.000
0.000 5.045 0.000
0.000 0.000 5.144
In Sb Rh S
2 1 1 1
Cartesian
0.000 2.522 0.000
2.522 0.000 0.000
0.000 0.000 2.572
2.522 2.522 2.572
0.000 0.000 0.000


TaInRhS3 PBE-GGA relaxed; raw formation energy = -659 meV per atom; crystal system = monoclinic; calculated volume = 20.38 Å³ per atom; VASP energy = -76.55 eV for the cell shown
1.0
7.348 0.000 0.000
0.000 3.456 0.000
-2.838 0.000 9.630
Ta In Rh S
2 2 2 6
Cartesian
-0.526 0.864 3.325
5.035 2.592 6.305
2.858 0.864 1.230
1.652 2.592 8.400
0.439 2.592 1.310
4.070 0.864 8.320
-1.574 2.592 8.602
-0.515 0.864 5.906
1.212 2.592 3.550
3.297 0.864 6.080
5.024 2.592 3.724
6.083 0.864 1.028


Ta2In2RhS6 PBE-GGA relaxed; raw formation energy = -660 meV per atom; crystal system = monoclinic; calculated volume = 22.68 Å³ per atom; VASP energy = -68.56 eV for the cell shown
1.0
2.913 -5.269 0.000
2.913 5.269 0.000
-1.816 0.000 8.126
Ta In Rh S
2 2 1 6
Cartesian
2.913 3.809 0.000
2.913 -3.809 0.000
2.005 2.946 4.063
2.005 -2.946 4.063
2.913 0.000 0.000
-0.755 0.000 6.481
2.000 1.804 1.369
2.010 1.804 6.758
2.000 -1.804 1.369
2.010 -1.804 6.758
4.765 0.000 1.645


InTe2RhS PBE-GGA relaxed; raw formation energy = 312 meV per atom; crystal system = tetragonal; calculated volume = 26.53 Å³ per atom; VASP energy = -18.94 eV for the cell shown
1.0
5.516 0.000 0.000
0.000 5.516 0.000
0.000 0.000 4.359
In Te Rh S
1 2 1 1
Cartesian
0.000 0.000 0.000
0.000 2.758 2.180
2.758 0.000 2.180
2.758 2.758 0.000
2.758 2.758 2.180


UInRh4S8 PBE-GGA relaxed; raw formation energy = -619 meV per atom; crystal system = trigonal; calculated volume = 19.34 Å³ per atom; VASP energy = -85.11 eV for the cell shown
1.0
3.680 2.125 5.772
-3.680 2.125 5.772
0.000 -4.249 5.772
U In Rh S
1 1 4 8
Cartesian
0.000 0.000 0.000
0.000 0.000 6.645
0.000 -2.195 3.086
-1.901 1.097 3.086
1.901 1.097 3.086
0.000 0.000 11.051
0.000 0.000 4.190
-1.848 -1.067 10.091
0.000 -2.286 7.601
-1.980 1.143 7.601
1.848 -1.067 10.091
0.000 2.134 10.091
0.000 0.000 13.360
1.980 1.143 7.601


VIn2RhS PBE-GGA relaxed; raw formation energy = 850 meV per atom; crystal system = tetragonal; calculated volume = 22.81 Å³ per atom; VASP energy = -21.82 eV for the cell shown
1.0
5.158 0.000 0.000
0.000 5.158 0.000
0.000 0.000 4.287
V In Rh S
1 2 1 1
Cartesian
0.000 0.000 0.000
0.000 2.579 2.144
2.579 0.000 2.144
2.579 2.579 0.000
2.579 2.579 2.144